Record 1
# ScCu2Ag, optimized geometry, DFT GGA-PBE
# - D(E_F) (states/eV/f.u.) = 1.138
# - V (Å³ per cell) = 64.36
# - ΔE_f (eV/atom) = -0.11
# - density (Mg/m³) = 7.2
# - M_tot (μB per cell) = 0.0
data_ScCu2Ag
_space_group_name_H-M_alt 'P 1'
_space_group_IT_number 1
_cell_length_a 3.227
_cell_length_b 3.227
_cell_length_c 6.180
_cell_angle_alpha 90.00
_cell_angle_beta 90.00
_cell_angle_gamma 90.00
loop_
_space_group_symop_operation_xyz
'x,y,z'
loop_
_atom_site_label
_atom_site_type_symbol
_atom_site_fract_x
_atom_site_fract_y
_atom_site_fract_z
Sc1 Sc 0.000 0.000 0.000
Cu1 Cu 0.000 0.000 0.549
Cu2 Cu 0.500 0.500 0.742
Ag1 Ag 0.500 0.500 0.304

Record 2
# Sc2CuAg, optimized geometry, DFT GGA-PBE
# - D(E_F) (states/eV/f.u.) = 4.974
# - V (Å³ per cell) = 81.14
# - ΔE_f (eV/atom) = 0.34
# - density (Mg/m³) = 5.3
# - M_tot (μB per cell) = 0.0
data_Sc2CuAg
_space_group_name_H-M_alt 'P 1'
_space_group_IT_number 1
_cell_length_a 10.445
_cell_length_b 10.445
_cell_length_c 10.445
_cell_angle_alpha 16.60
_cell_angle_beta 16.60
_cell_angle_gamma 16.60
loop_
_space_group_symop_operation_xyz
'x,y,z'
loop_
_atom_site_label
_atom_site_type_symbol
_atom_site_fract_x
_atom_site_fract_y
_atom_site_fract_z
Sc1 Sc 0.087 0.087 0.087
Sc2 Sc 0.913 0.913 0.913
Cu1 Cu 0.000 0.000 0.000
Ag1 Ag 0.500 0.500 0.500

Record 3
# Sc4CuAg3, optimized geometry, DFT GGA-PBE
# - D(E_F) (states/eV/f.u.) = 5.067
# - V (Å³ per cell) = 156.72
# - ΔE_f (eV/atom) = -0.27
# - density (Mg/m³) = 6.0
# - M_tot (μB per cell) = 0.0
data_Sc4CuAg3
_space_group_name_H-M_alt 'P 1'
_space_group_IT_number 1
_cell_length_a 3.392
_cell_length_b 3.392
_cell_length_c 13.622
_cell_angle_alpha 90.00
_cell_angle_beta 90.00
_cell_angle_gamma 90.00
loop_
_space_group_symop_operation_xyz
'x,y,z'
loop_
_atom_site_label
_atom_site_type_symbol
_atom_site_fract_x
_atom_site_fract_y
_atom_site_fract_z
Sc1 Sc 0.000 0.000 0.114
Sc2 Sc 0.000 0.000 0.371
Sc3 Sc 0.000 0.000 0.629
Sc4 Sc 0.000 0.000 0.886
Cu1 Cu 0.500 0.500 0.000
Ag1 Ag 0.500 0.500 0.244
Ag2 Ag 0.500 0.500 0.500
Ag3 Ag 0.500 0.500 0.756